Entry 1:
IrWSe2 | PBE-GGA | optimized geometry

Cell: 5.1945 5.1945 5.1945 Å, 136.40 136.40 63.35°
With the nearest neighbours (Å) after each atom.
Sites, in units of the cell vectors:
Se 0.0000 0.0000 0.0000  4 W 2.73, 4 Ir 2.93, 4 Se 2.93
Se 0.2500 0.7500 0.5000  4 Ir 2.73, 4 W 2.93, 4 Se 2.93
Ir 0.7500 0.2500 0.5000  8 Se 2.73-2.93, 4 W 2.93
W 0.5000 0.5000 0.0000  8 Se 2.73-2.93, 4 Ir 2.93

E in eV/atom: -6.49
Raw formation energy in meV per atom: 710

---

Entry 2:
IrWSe | PBE-GGA | optimized geometry

Cell: 4.3131 4.3131 4.3131 Å, 60.00 60.00 60.00°
With the nearest neighbours (Å) after each atom.
Sites, in units of the cell vectors:
Ir 0.7500 0.7500 0.7500  4 Se 2.64, 4 W 2.64
Se 0.0000 0.0000 0.0000  4 Ir 2.64
W 0.5000 0.5000 0.5000  4 Ir 2.64

E in eV/atom: -7.79
Raw formation energy in meV per atom: 646

---

no.,ΔE to the lowest computed polymorph (meV/atom)
1,676
2,543